{"formula": "LiFe2Si", "functional": "PBE", "state": "optimized geometry", "formation_energy_uncorrected_kj_per_mol_fu": -35, "cell": [[4.056, 0.000, 0.000], [0.000, 2.531, 0.003], [0.000, 0.506, 4.429]], "species": ["Fe", "Fe", "Li", "Si"], "frac_coords": [[0.000, 0.043, 0.975], [0.500, 0.206, 0.277], [0.000, 0.595, 0.472], [0.500, 0.656, 0.777]]}

---

{"formula": "PRu", "functional": "PBE", "state": "optimized geometry", "e_above_lowest_polymorph_ev_per_atom": 0.295, "ef_mev_per_atom": -266, "cell": [[3.184, 0.000, 0.000], [0.000, 3.184, 0.000], [0.000, 0.000, 5.336]], "species": ["P", "P", "Ru", "Ru"], "frac_coords": [[0.500, 0.000, 0.848], [0.000, 0.500, 0.152], [0.500, 0.000, 0.302], [0.000, 0.500, 0.698]]}

---

{"formula": "K3Ir", "functional": "PBE", "state": "optimized geometry", "e_above_lowest_polymorph_ev_per_atom": 0.103, "ef_mev_per_atom": 773, "cell": [[-3.095, -0.190, -1.975], [-1.184, -2.760, 2.120], [-5.371, 8.167, 7.633]], "species": ["Ir", "K", "K", "K"], "frac_coords": [[0.000, 0.000, 0.000], [0.500, 0.500, 0.843], [0.000, 0.000, 0.500], [0.500, 0.500, 0.157]]}

---

Number 1: VASP energy -24.6 eV for the cell shown. Number 2: VASP energy -30.4 eV for the cell shown. Number 3: VASP energy -9.1 eV for the cell shown.